1.
The following is a PBE-GGA calculation of a relaxed Nd3Be2SiPd9 crystal, from Alexandria.

Cell: 5.9708 5.9708 8.8153 Å, 90.00 90.00 120.00°
Space group P-3m1 (No. 164)
Inequivalent atoms, fractional coordinates:
Nd 0.0000 0.0000 0.0000 [1 per cell]
Nd 0.3333 0.6667 0.6489 [2 per cell]
Be 0.3333 0.6667 0.1537 [2 per cell]
Si 0.0000 0.0000 0.5000 [1 per cell]
Pd 0.0000 0.5000 0.0000 [3 per cell]
Pd 0.1632 0.3264 0.3020 [6 per cell]

Computed properties:
- total magnetization (μB/cell) = 0.0
- E_form (uncorrected) (kJ/mol of formula units) = -976

=====

2.
The following is a PBE-GGA calculation of a relaxed Dy6Tm2Sc crystal, from Alexandria.

Cell: 11.059 4.943 10.509 Å, 90.00 108.48 90.00°
Space group C2/m (No. 12)
Inequivalent atoms, fractional coordinates:
Dy 0.163 0.000 0.219 [4 per cell]
Dy 0.166 0.000 0.555 [4 per cell]
Dy 0.168 0.000 0.891 [4 per cell]
Tm 0.002 0.500 0.670 [4 per cell]
Sc 0.000 0.500 0.000 [2 per cell]

Computed properties:
- total magnetization (μB/cell) = 0.0
- ΔH_f (0 K) (eV/atom) = 0.0309
- energy above the lowest structure with this stoichiometry (meV/atom) = 0

=====

3.
The following is a PBE-GGA calculation of a relaxed DyTiZn2 crystal, from Alexandria.

Cell: 3.342 3.342 6.752 Å, 90.00 90.00 90.00°
Space group P4/mmm (No. 123)
Inequivalent atoms, fractional coordinates:
Dy 0.000 0.000 0.000 [1 per cell]
Ti 0.000 0.000 0.500 [1 per cell]
Zn 0.500 0.500 0.292 [2 per cell]

Computed properties:
- total magnetization (μB/cell) = 0.0
- ΔH_f (0 K) (eV/atom) = -0.2076
- energy above the lowest structure with this stoichiometry (meV/atom) = 0